# 1
The following is a PBE-GGA calculation of a geometry-optimized EuHoSiAu structure, from the Alexandria database.

a = 7.249 Å, b = 7.249 Å, c = 7.249 Å
α = 90.00°, β = 90.00°, γ = 90.00°
Space group F-43m (No. 216)
Inequivalent atoms, fractional coordinates:
Eu (0.000, 0.000, 0.000) [4 per cell]
Ho (0.000, 0.000, 0.500) [4 per cell]
Si (0.250, 0.250, 0.250) [4 per cell]
Au (0.250, 0.250, 0.750) [4 per cell]

Results
VASP energy   -104.410 eV per cell
E_form (uncorrected)   -0.6375 eV/atom

---

# 2
The following is a PBE-GGA calculation of a geometry-optimized Pm5HoTe8 structure, from the Alexandria database.

a = 9.430 Å, b = 9.430 Å, c = 9.516 Å
α = 90.00°, β = 90.00°, γ = 90.00°
Space group I-4 (No. 82)
Inequivalent atoms, fractional coordinates:
Pm (0.000, 0.000, 0.000) [2 per cell]
Pm (0.119, 0.251, 0.624) [8 per cell]
Ho (0.000, 0.500, 0.250) [2 per cell]
Te (0.072, 0.181, 0.299) [8 per cell]
Te (0.075, 0.324, 0.950) [8 per cell]

Results
VASP energy   -145.683 eV per cell
E_form (uncorrected)   -1.3841 eV/atom

---

# 3
The following is a PBE-GGA calculation of a geometry-optimized NbRhSeBr2 structure, from the Alexandria database.

a = 5.134 Å, b = 5.134 Å, c = 5.017 Å
α = 90.00°, β = 90.00°, γ = 90.00°
Space group P4/mmm (No. 123)
Inequivalent atoms, fractional coordinates:
Nb (0.000, 0.000, 0.000) [1 per cell]
Rh (0.500, 0.500, 0.500) [1 per cell]
Se (0.000, 0.000, 0.500) [1 per cell]
Br (0.000, 0.500, 0.000) [2 per cell]

Results
VASP energy   -21.690 eV per cell
E_form (uncorrected)   0.5123 eV/atom

---

# 4
The following is a PBE-GGA calculation of a geometry-optimized HfRh2W structure, from the Alexandria database.

a = 4.100 Å, b = 4.100 Å, c = 17.277 Å
α = 90.00°, β = 90.00°, γ = 90.00°
Space group I-42d (No. 122)
Inequivalent atoms, fractional coordinates:
Hf (0.000, 0.000, 0.000) [4 per cell]
Rh (0.234, 0.250, 0.625) [8 per cell]
W (0.000, 0.000, 0.500) [4 per cell]

Results
VASP energy   -146.555 eV per cell
ΔE_f   243 meV/atom

---

# 5
The following is a PBE-GGA calculation of a geometry-optimized Na5PrO6 structure, from the Alexandria database.

a = 6.019 Å, b = 10.369 Å, c = 5.964 Å
α = 90.00°, β = 109.97°, γ = 90.00°
Space group C2/m (No. 12)
Inequivalent atoms, fractional coordinates:
Na (0.000, 0.000, 0.000) [2 per cell]
Na (0.000, 0.167, 0.500) [4 per cell]
Na (0.000, 0.326, 0.000) [4 per cell]
Pr (0.000, 0.500, 0.500) [2 per cell]
O (0.234, 0.500, 0.263) [4 per cell]
O (0.237, 0.342, 0.741) [8 per cell]

Results
VASP energy   -114.420 eV per cell
E_form (uncorrected)   -1.3405 eV/atom

---

# 6
The following is a PBE-GGA calculation of a geometry-optimized SnBiAu4 structure, from the Alexandria database.

a = 8.053 Å, b = 8.053 Å, c = 8.053 Å
α = 90.00°, β = 90.00°, γ = 90.00°
Space group F-43m (No. 216)
Inequivalent atoms, fractional coordinates:
Sn (0.000, 0.000, 0.000) [4 per cell]
Bi (0.250, 0.250, 0.250) [4 per cell]
Au (0.125, 0.125, 0.625) [16 per cell]

Results
VASP energy   -85.310 eV per cell
ΔE_f   -56 meV/atom